A geometry-optimized SiSbPt5 structure. Source: Alexandria via LeMat-Bulk, functional PBE.

Properties
* ΔE_f (raw): -0.435 eV/atom
* E above lowest polymorph: 0.00 eV/f.u.

```
7
Lattice="3.988 0.000 0.000 0.000 3.988 0.000 0.000 0.000 7.272" Properties=species:S:1:pos:R:3 pbc="T T T"
Si 0.000 0.000 0.000
Sb 1.994 1.994 3.636
Pt 0.000 0.000 3.636
Pt 0.000 1.994 1.455
Pt 0.000 1.994 5.817
Pt 1.994 0.000 1.455
Pt 1.994 0.000 5.817
```

A geometry-optimized La2SnIr structure. Source: Alexandria via LeMat-Bulk, functional PBE.

Properties
* calculated formation energy: -0.690 eV/atom

```
4
Lattice="3.599 0.000 0.000 0.000 3.599 0.000 0.000 0.000 8.363" Properties=species:S:1:pos:R:3 pbc="T T T"
La 0.000 0.000 1.735
La 0.000 0.000 6.628
Sn 1.799 1.799 4.181
Ir 1.799 1.799 0.000
```

A geometry-optimized Cu2AgCl structure. Source: Alexandria via LeMat-Bulk, functional PBE.

Properties
* ΔE_f (raw): 0.344 eV/atom
* E above lowest polymorph: 1.43 eV/f.u.

```
8
Lattice="3.831 0.000 0.000 0.000 3.831 0.000 0.000 0.000 8.840" Properties=species:S:1:pos:R:3 pbc="T T T"
Cu 0.000 1.915 2.210
Cu 0.000 1.915 6.630
Cu 1.915 0.000 2.210
Cu 1.915 0.000 6.630
Ag 0.000 0.000 0.000
Ag 1.915 1.915 4.420
Cl 0.000 0.000 4.420
Cl 1.915 1.915 0.000
```

A geometry-optimized KInSn2 structure. Source: Alexandria via LeMat-Bulk, functional PBE.

Properties
* calculated formation energy: -0.014 eV/atom

```
12
Lattice="4.817 0.000 0.000 -2.408 4.171 0.000 0.000 0.000 21.613" Properties=species:S:1:pos:R:3 pbc="T T T"
K 0.000 0.000 0.000
K 0.000 2.781 14.409
K 2.408 1.390 7.204
In 0.000 0.000 3.852
In 0.000 2.781 18.261
In 2.408 1.390 11.057
Sn 0.000 0.000 12.127
Sn 0.000 0.000 17.035
Sn 0.000 2.781 4.922
Sn 0.000 2.781 9.830
Sn 2.408 1.390 2.626
Sn 2.408 1.390 19.331
```

A geometry-optimized Rb2TlCrCl6 structure. Source: Alexandria via LeMat-Bulk, functional PBE.

Properties
* ΔE_f (raw): -1.458 eV/atom
* E above lowest polymorph: 0.00 eV/f.u.

```
20
Lattice="7.487 0.000 0.000 0.000 7.699 0.000 -7.415 0.000 10.712" Properties=species:S:1:pos:R:3 pbc="T T T"
Rb -0.103 0.458 2.651
Rb -3.811 3.392 8.007
Rb 3.883 4.307 2.704
Rb 0.176 7.241 8.060
Tl 3.744 0.000 0.000
Tl 0.036 3.850 5.356
Cr -3.707 0.000 5.356
Cr 0.000 3.850 0.000
Cl -6.173 1.861 10.278
Cl -2.466 1.988 4.922
Cl -5.477 5.165 10.287
Cl -1.770 6.384 4.931
Cl -3.112 0.119 7.653
Cl 0.596 3.731 2.297
Cl -0.523 3.969 8.415
Cl 3.184 7.580 3.059
Cl 1.842 1.315 5.780
Cl 5.550 2.534 0.424
Cl 2.538 5.711 5.790
Cl 6.245 5.838 0.434
```

A geometry-optimized ScTiRe structure. Source: Alexandria via LeMat-Bulk, functional PBE.

Properties
* calculated formation energy: -0.209 eV/atom
* E above lowest polymorph: 0.00 eV/f.u.

```
6
Lattice="3.225 0.000 0.000 0.000 3.225 0.000 0.000 0.000 10.513" Properties=species:S:1:pos:R:3 pbc="T T T"
Sc 0.806 0.806 1.331
Sc 2.419 2.419 9.183
Ti 0.806 0.806 4.327
Ti 2.419 2.419 6.186
Re 0.806 0.806 7.514
Re 2.419 2.419 2.999
```